Entry 1:
# SrLuTe3Au | the Open Quantum Materials Database | PBE | relaxed
data_SrLuTe3Au
_chemical_formula_sum 'Sr4 Lu4 Te12 Au4'
_symmetry_space_group_name_H-M 'C 1 2/m 1'
_symmetry_Int_Tables_number 12
_cell_length_a 19.706
_cell_length_b 4.318
_cell_length_c 8.824
_cell_angle_alpha 90.00
_cell_angle_beta 100.37
_cell_angle_gamma 90.00
loop_
_symmetry_equiv_pos_as_xyz
'x,y,z'
'-x,-y,-z'
'-x,y,-z'
'x,-y,z'
'x+1/2,y+1/2,z'
'-x+1/2,-y+1/2,-z'
'-x+1/2,y+1/2,-z'
'x+1/2,-y+1/2,z'
loop_
_atom_site_label
_atom_site_fract_x
_atom_site_fract_y
_atom_site_fract_z
_atom_site_occupancy
Sr1 0.125 0.000 0.080 1
Lu1 0.162 0.000 0.594 1
Te1 0.000 0.000 0.500 1
Te2 0.000 0.500 0.000 1
Te3 0.177 0.500 0.364 1
Te4 0.189 0.500 0.843 1
Au1 0.051 0.500 0.711 1
# Total magnetic moment (Bohr magnetons per cell): 0.00
# Crystal system: monoclinic
# Final energy (eV/atom): -4.26


Entry 2:
# Sr2YHf | the Open Quantum Materials Database | PBE | relaxed
data_Sr2YHf
_chemical_formula_sum 'Sr8 Y4 Hf4'
_symmetry_space_group_name_H-M 'F -4 3 m'
_symmetry_Int_Tables_number 216
_symmetry_space_group_name_Hall 'F -4 2 3'
_cell_length_a 8.260
_cell_length_b 8.260
_cell_length_c 8.260
_cell_angle_alpha 90.00
_cell_angle_beta 90.00
_cell_angle_gamma 90.00
loop_
_atom_site_label
_atom_site_fract_x
_atom_site_fract_y
_atom_site_fract_z
_atom_site_occupancy
Sr1 0.000 0.000 0.000 1
Sr2 0.250 0.250 0.250 1
Y1 0.000 0.000 0.500 1
Hf1 0.250 0.250 0.750 1
# Total magnetic moment (Bohr magnetons per cell): 7.94
# Crystal system: cubic
# Final energy (eV/atom): -4.37


Entry 3:
# InGe2Ir | the Open Quantum Materials Database | PBE | relaxed
data_InGe2Ir
_chemical_formula_sum 'In4 Ge8 Ir4'
_symmetry_space_group_name_H-M 'F -4 3 m'
_symmetry_Int_Tables_number 216
_symmetry_space_group_name_Hall 'F -4 2 3'
_cell_length_a 6.593
_cell_length_b 6.593
_cell_length_c 6.593
_cell_angle_alpha 90.00
_cell_angle_beta 90.00
_cell_angle_gamma 90.00
loop_
_atom_site_label
_atom_site_fract_x
_atom_site_fract_y
_atom_site_fract_z
_atom_site_occupancy
In1 0.000 0.000 0.000 1
Ge1 0.000 0.000 0.500 1
Ge2 0.250 0.250 0.750 1
Ir1 0.250 0.250 0.250 1
# Total magnetic moment (Bohr magnetons per cell): 0.00
# Crystal system: cubic
# Final energy (eV/atom): -4.94


Entry 4:
# Sr2H6OsAu | the Open Quantum Materials Database | PBE | relaxed
data_Sr2H6OsAu
_chemical_formula_sum 'Sr8 H24 Os4 Au4'
_symmetry_space_group_name_H-M 'F m -3 m'
_symmetry_Int_Tables_number 225
_symmetry_space_group_name_Hall '-F 4 2 3'
_cell_length_a 7.781
_cell_length_b 7.781
_cell_length_c 7.781
_cell_angle_alpha 90.00
_cell_angle_beta 90.00
_cell_angle_gamma 90.00
loop_
_atom_site_label
_atom_site_fract_x
_atom_site_fract_y
_atom_site_fract_z
_atom_site_occupancy
Sr1 0.250 0.250 0.250 1
H1 0.000 0.000 0.226 1
Os1 0.000 0.000 0.000 1
Au1 0.000 0.000 0.500 1
# Total magnetic moment (Bohr magnetons per cell): 0.01
# Crystal system: cubic
# Final energy (eV/atom): -4.19


Entry 5:
# TbDy2HoPd4 | the Open Quantum Materials Database | PBE | relaxed
data_TbDy2HoPd4
_chemical_formula_sum 'Tb1 Dy2 Ho1 Pd4'
_symmetry_space_group_name_H-M 'P 4/m m m'
_symmetry_Int_Tables_number 123
_symmetry_space_group_name_Hall '-P 4 2'
_cell_length_a 4.944
_cell_length_b 4.944
_cell_length_c 6.984
_cell_angle_alpha 90.00
_cell_angle_beta 90.00
_cell_angle_gamma 90.00
loop_
_atom_site_label
_atom_site_fract_x
_atom_site_fract_y
_atom_site_fract_z
_atom_site_occupancy
Tb1 0.000 0.000 0.000 1
Dy1 0.000 0.000 0.500 1
Dy2 0.500 0.500 0.000 1
Ho1 0.500 0.500 0.500 1
Pd1 0.000 0.500 0.251 1
# Total magnetic moment (Bohr magnetons per cell): 0.00
# E_form (kJ per mole of atoms): -86.43
# Crystal system: tetragonal


Entry 6:
# SmTe | the Open Quantum Materials Database | PBE | relaxed
data_SmTe
_chemical_formula_sum 'Sm3 Te3'
_symmetry_space_group_name_H-M 'P 31'
_symmetry_Int_Tables_number 144
_cell_length_a 4.9419
_cell_length_b 4.9419
_cell_length_c 12.0951
_cell_angle_alpha 90.00
_cell_angle_beta 90.00
_cell_angle_gamma 120.00
loop_
_symmetry_equiv_pos_as_xyz
'x,y,z'
'-y,x-y,z+1/3'
'-x+y,-x,z+2/3'
loop_
_atom_site_label
_atom_site_fract_x
_atom_site_fract_y
_atom_site_fract_z
_atom_site_occupancy
Sm1 0.0204 0.3471 0.0000 1
Te1 0.3201 0.0073 0.4167 1
# Total magnetic moment (Bohr magnetons per cell): 0.00
# Crystal system: trigonal
# Final energy (eV/atom): -4.84


Entry 7:
# Ho4CI3Br2 | the Open Quantum Materials Database | PBE | relaxed
data_Ho4CI3Br2
_chemical_formula_sum 'Ho8 C2 I6 Br4'
_symmetry_space_group_name_H-M 'C 1 2/m 1'
_symmetry_Int_Tables_number 12
_cell_length_a 18.504
_cell_length_b 3.894
_cell_length_c 8.451
_cell_angle_alpha 90.00
_cell_angle_beta 102.63
_cell_angle_gamma 90.00
loop_
_symmetry_equiv_pos_as_xyz
'x,y,z'
'-x,-y,-z'
'-x,y,-z'
'x,-y,z'
'x+1/2,y+1/2,z'
'-x+1/2,-y+1/2,-z'
'-x+1/2,y+1/2,-z'
'x+1/2,-y+1/2,z'
loop_
_atom_site_label
_atom_site_fract_x
_atom_site_fract_y
_atom_site_fract_z
_atom_site_occupancy
Ho1 0.000 0.000 0.190 1
Ho2 0.132 0.500 0.069 1
C1 0.000 0.500 0.000 1
I1 0.000 0.500 0.500 1
I2 0.170 0.000 0.819 1
Br1 0.158 0.000 0.323 1
# Total magnetic moment (Bohr magnetons per cell): 0.59
# Crystal system: monoclinic
# Final energy (eV/atom): -4.77


Entry 8:
# HoAsSe4 | the Open Quantum Materials Database | PBE | relaxed
data_HoAsSe4
_chemical_formula_sum 'Ho2 As2 Se8'
_symmetry_space_group_name_H-M 'P -1'
_symmetry_Int_Tables_number 2
_cell_length_a 6.849
_cell_length_b 6.957
_cell_length_c 7.608
_cell_angle_alpha 87.46
_cell_angle_beta 87.46
_cell_angle_gamma 80.56
loop_
_symmetry_equiv_pos_as_xyz
'x,y,z'
'-x,-y,-z'
loop_
_atom_site_label
_atom_site_fract_x
_atom_site_fract_y
_atom_site_fract_z
_atom_site_occupancy
Ho1 0.202 0.204 0.061 1
As1 0.316 0.760 0.803 1
Se1 0.064 0.033 0.749 1
Se2 0.118 0.513 0.776 1
Se3 0.396 0.272 0.371 1
Se4 0.400 0.783 0.100 1
# Total magnetic moment (Bohr magnetons per cell): 0.01
# Crystal system: triclinic
# Final energy (eV/atom): -4.61


Entry 9:
# TlCoMoPd | the Open Quantum Materials Database | PBE | relaxed
data_TlCoMoPd
_chemical_formula_sum 'Tl4 Co4 Mo4 Pd4'
_symmetry_space_group_name_H-M 'F -4 3 m'
_symmetry_Int_Tables_number 216
_symmetry_space_group_name_Hall 'F -4 2 3'
_cell_length_a 6.340
_cell_length_b 6.340
_cell_length_c 6.340
_cell_angle_alpha 90.00
_cell_angle_beta 90.00
_cell_angle_gamma 90.00
loop_
_atom_site_label
_atom_site_fract_x
_atom_site_fract_y
_atom_site_fract_z
_atom_site_occupancy
Tl1 0.000 0.000 0.000 1
Co1 0.250 0.250 0.250 1
Mo1 0.000 0.000 0.500 1
Pd1 0.250 0.250 0.750 1
# Total magnetic moment (Bohr magnetons per cell): 0.04
# Crystal system: cubic
# Final energy (eV/atom): -5.90


Entry 10:
# InMoPt2 | the Open Quantum Materials Database | PBE | relaxed
data_InMoPt2
_chemical_formula_sum 'In4 Mo4 Pt8'
_symmetry_space_group_name_H-M 'F -4 3 m'
_symmetry_Int_Tables_number 216
_symmetry_space_group_name_Hall 'F -4 2 3'
_cell_length_a 6.443
_cell_length_b 6.443
_cell_length_c 6.443
_cell_angle_alpha 90.00
_cell_angle_beta 90.00
_cell_angle_gamma 90.00
loop_
_atom_site_label
_atom_site_fract_x
_atom_site_fract_y
_atom_site_fract_z
_atom_site_occupancy
In1 0.000 0.000 0.000 1
Mo1 0.250 0.250 0.250 1
Pt1 0.000 0.000 0.500 1
Pt2 0.250 0.250 0.750 1
# Total magnetic moment (Bohr magnetons per cell): 0.36
# Crystal system: cubic
# Final energy (eV/atom): -6.42


Entry 11:
# NdGd2Cd4In2 | the Open Quantum Materials Database | PBE | relaxed
data_NdGd2Cd4In2
_chemical_formula_sum 'Nd2 Gd4 Cd8 In4'
_symmetry_space_group_name_H-M 'A m m 2'
_symmetry_Int_Tables_number 38
_cell_length_a 4.661
_cell_length_b 13.170
_cell_length_c 7.531
_cell_angle_alpha 90.00
_cell_angle_beta 90.00
_cell_angle_gamma 90.00
loop_
_symmetry_equiv_pos_as_xyz
'x,y,z'
'-x,-y,z'
'-x,y,z'
'x,-y,z'
'x,y+1/2,z+1/2'
'-x,-y+1/2,z+1/2'
'-x,y+1/2,z+1/2'
'x,-y+1/2,z+1/2'
loop_
_atom_site_label
_atom_site_fract_x
_atom_site_fract_y
_atom_site_fract_z
_atom_site_occupancy
Nd1 0.000 0.000 0.000 1
Gd1 0.000 0.212 0.636 1
Cd1 0.000 0.000 0.430 1
Cd2 0.500 0.000 0.666 1
Cd3 0.500 0.120 0.305 1
In1 0.500 0.169 0.924 1
# Total magnetic moment (Bohr magnetons per cell): 0.03
# Crystal system: orthorhombic
# Final energy (eV/atom): -2.99


Entry 12:
# CsNdAg3O4 | the Open Quantum Materials Database | PBE | relaxed
data_CsNdAg3O4
_chemical_formula_sum 'Cs1 Nd1 Ag3 O4'
_symmetry_space_group_name_H-M 'P -4 3 m'
_symmetry_Int_Tables_number 215
_symmetry_space_group_name_Hall 'P -4 2 3'
_cell_length_a 5.868
_cell_length_b 5.868
_cell_length_c 5.868
_cell_angle_alpha 90.00
_cell_angle_beta 90.00
_cell_angle_gamma 90.00
loop_
_atom_site_label
_atom_site_fract_x
_atom_site_fract_y
_atom_site_fract_z
_atom_site_occupancy
Cs1 0.000 0.000 0.000 1
Nd1 0.500 0.500 0.500 1
Ag1 0.000 0.500 0.500 1
O1 0.282 0.282 0.282 1
# Total magnetic moment (Bohr magnetons per cell): 1.00
# Crystal system: cubic
# Final energy (eV/atom): -4.56